No. 1
PBE SrFe2SiGe, optimized geometry; space-group type = No. 123; uncorrected energy = -18.073 eV/cell; E_form (uncorrected) = 1020 kJ/mol of formula units
1.0
-2.4258 0.4659 -4.1031
1.1359 -5.0662 -1.2469
-4.0018 -1.4393 2.2025
Sr Fe Ge Si
1 2 1 1
Direct
0.0000 0.0000 0.0000
0.5000 0.0000 0.0000
0.0000 0.0000 0.5000
0.5000 0.5000 0.5000
0.0000 0.5000 0.0000


No. 2
PBE FeSiTcGe, optimized geometry; space-group type = No. 216; uncorrected energy = -29.530 eV/cell; E_form (uncorrected) = -64 kJ/mol of formula units
1.0
-2.6369 -3.1059 -0.8261
0.8165 -2.6520 -3.0956
1.0768 -3.9235 0.8538
Si Tc Fe Ge
1 1 1 1
Direct
0.2500 0.2500 0.2500
0.5000 0.5000 0.5000
0.0000 0.0000 0.0000
0.7500 0.7500 0.7500


No. 3
PBE ThFe2SiGe2, optimized geometry; space-group type = No. 123; uncorrected energy = -40.281 eV/cell; E_form (uncorrected) = -123 kJ/mol of formula units
1.0
-2.3373 2.8709 2.1643
-2.5472 -3.1440 1.4198
3.3464 -0.6750 4.5093
Fe Ge Si Th
2 2 1 1
Direct
0.5000 0.0000 0.0000
0.0000 0.5000 0.0000
0.5000 0.5000 0.7392
0.5000 0.5000 0.2608
0.0000 0.0000 0.0000
0.0000 0.0000 0.5000


The records above give, respectively, volume values of 24.49, 12.70, 17.33 Å³/atom.